# 1
The following is a GGA-PBEsol calculation of crystalline UNiP2 at its relaxed geometry, from Alexandria via LeMat-Bulk.

```
data_UNiP2
_cell_length_a 3.7509
_cell_length_b 3.7631
_cell_length_c 12.9652
_cell_angle_alpha 90.00
_cell_angle_beta 90.00
_cell_angle_gamma 90.00
_symmetry_space_group_name_H-M 'P m m 2'
_symmetry_Int_Tables_number 25
_symmetry_space_group_name_Hall 'P 2 -2'
loop_
_atom_site_label
_atom_site_type_symbol
_atom_site_fract_x
_atom_site_fract_y
_atom_site_fract_z
U1 U 0.0000 0.0000 0.0000
U2 U 0.0000 0.0000 0.3009
U3 U 0.5000 0.5000 0.6690
Ni1 Ni 0.0000 0.5000 0.4812
Ni2 Ni 0.0000 0.5000 0.8359
Ni3 Ni 0.5000 0.0000 0.4840
P1 P 0.0000 0.0000 0.5763
P2 P 0.0000 0.0000 0.7492
P3 P 0.0000 0.5000 0.1511
P4 P 0.5000 0.0000 0.1508
P5 P 0.5000 0.5000 0.3792
P6 P 0.5000 0.5000 0.9294
```

## Properties
* final energy: -8.297 eV/atom
* magnetization: 0.893 μB/f.u.



# 2
The following is a GGA-PBEsol calculation of crystalline UNi2P2 at its relaxed geometry, from Alexandria via LeMat-Bulk.

```
data_UNi2P2
_cell_length_a 3.6958
_cell_length_b 3.6958
_cell_length_c 9.8707
_cell_angle_alpha 90.00
_cell_angle_beta 90.00
_cell_angle_gamma 90.00
_symmetry_space_group_name_H-M 'I 4/m m m'
_symmetry_Int_Tables_number 139
_symmetry_space_group_name_Hall '-I 4 2'
loop_
_atom_site_label
_atom_site_type_symbol
_atom_site_fract_x
_atom_site_fract_y
_atom_site_fract_z
U1 U 0.0000 0.0000 0.0000
Ni1 Ni 0.0000 0.5000 0.2500
P1 P 0.0000 0.0000 0.3805
```

## Properties
* final energy: -8.027 eV/atom
* magnetization: 1.482 μB/f.u.



Asked for density of states at the Fermi level across the records above, the calculation gives 13.19, 13.55 states/eV per cell in order.